YSnW3: single point on PBEsol structure, meta-GGA SCAN.

Unit cell a=4.891 b=4.891 c=4.891 alpha=90.00 beta=90.00 gamma=90.00
Fractional positions:
Y (0.000, 0.000, 0.000)
Sn (0.500, 0.500, 0.500)
W (0.000, 0.500, 0.500)
W (0.500, 0.000, 0.500)
W (0.500, 0.500, 0.000)

For the total energy, the calculation gives -52.377 eV/atom. The calculation puts the formation energy at 2.188 eV per atom.


YSn3: single point on PBEsol structure, meta-GGA SCAN.

Unit cell a=5.992 b=5.992 c=5.992 alpha=136.64 beta=136.64 gamma=62.99
Fractional positions:
Y (0.000, 0.000, 0.000)
Sn (0.250, 0.750, 0.500)
Sn (0.500, 0.500, 0.000)
Sn (0.750, 0.250, 0.500)

For the total energy, the calculation gives -34.346 eV/atom. The calculation puts the formation energy at -0.445 eV per atom.


YSn3: single point on PBEsol structure, meta-GGA SCAN.

Unit cell a=4.344 b=11.115 c=11.115 alpha=22.69 beta=90.00 gamma=90.00
Fractional positions:
Y (0.000, 0.000, 0.000)
Y (0.500, 0.273, 0.273)
Sn (0.000, 0.149, 0.149)
Sn (0.000, 0.388, 0.388)
Sn (0.000, 0.766, 0.766)
Sn (0.500, 0.525, 0.525)
Sn (0.500, 0.659, 0.659)
Sn (0.500, 0.889, 0.889)

For the total energy, the calculation gives -34.328 eV/atom. The calculation puts the formation energy at -0.427 eV per atom.


YSn3: single point on PBEsol structure, meta-GGA SCAN.

Unit cell a=4.635 b=4.635 c=4.635 alpha=90.00 beta=90.00 gamma=90.00
Fractional positions:
Y (0.000, 0.000, 0.000)
Sn (0.000, 0.500, 0.500)
Sn (0.500, 0.000, 0.500)
Sn (0.500, 0.500, 0.000)

For the total energy, the calculation gives -34.383 eV/atom. The calculation puts the formation energy at -0.481 eV per atom.